Crystalline SrYCo2 at its relaxed geometry, computed with PBE-GGA.

Values from the calculation:
Total magnetization ... 1.59 μB per cell
Final energy ... -21.730 eV for the cell shown
Fermi-level density of states ... 0.946 states/eV per atom
DFT formation energy ... 61 kJ/mol of formula units

a b c (Å): 7.009 7.009 7.009
angles (deg): 148.27 144.95 47.99
Fractional coordinates of all 4 atoms:
Sr 0.000 0.000 0.000
Y 0.251 0.751 0.500
Co 0.613 0.613 0.000
Co 0.694 0.194 0.500